The following is a DFT calculation (PBE) of a relaxed structure of Al2HO.

Values from the calculation:
Total moment in μB/atom: 0.000
ΔE to the lowest computed polymorph in eV per atom: 0.000
Uncorrected energy in eV/atom: -4.625

Cell and atoms, written as CIF:
```
data_Al2HO
_symmetry_space_group_name_H-M 'I -4 2 d'
_symmetry_Int_Tables_number 122
_symmetry_space_group_name_Hall 'I -4 2bw'
_cell_length_a 4.613
_cell_length_b 4.613
_cell_length_c 8.347
_cell_angle_alpha 90.00
_cell_angle_beta 90.00
_cell_angle_gamma 90.00
loop_
_atom_site_label
_atom_site_type_symbol
_atom_site_fract_x
_atom_site_fract_y
_atom_site_fract_z
Al1 Al 0.243 0.250 0.125
H1 H 0.000 0.000 0.000
O1 O 0.000 0.000 0.500
```